NaLa2OsO8 after structural relaxation. Source: the Alexandria database, functional PBE.

Unit cell a=4.225 b=5.447 c=7.159 alpha=92.08 beta=92.04 gamma=91.52
Element x y z (fractional)
Na 0.000 0.000 0.000
La 0.320 0.507 0.750
La 0.680 0.493 0.250
Os 0.000 0.000 0.500
O 0.201 0.392 0.058
O 0.236 0.797 0.351
O 0.242 0.287 0.446
O 0.258 0.949 0.715
O 0.742 0.051 0.285
O 0.758 0.713 0.554
O 0.764 0.203 0.649
O 0.799 0.608 0.942

* raw total energy: -7.117 eV per atom
* E_form (uncorrected): -44.84 kcal/mol of atoms
* V: 164.48 Å³ per cell